Record 1
A plane-wave DFT calculation with PBE was carried out for a relaxed DyScGaPb crystal.

The structure in POSCAR format:
```
DyScGaPb
1.0
0.0000 3.6369 3.6369
3.6369 0.0000 3.6369
3.6369 3.6369 0.0000
Dy Sc Ga Pb
1 1 1 1
Cartesian
0.0000 0.0000 0.0000
3.6369 3.6369 3.6369
1.8184 1.8184 1.8184
5.4553 5.4553 5.4553
```

Computed properties:
- calculated density (Mg/m³) = 8.4
- E_form (eV per atom) = -0.3798

***

Record 2
A plane-wave DFT calculation with PBE was carried out for a relaxed Ce2CdP crystal.

The structure in POSCAR format:
```
Ce2CdP
1.0
1.8741 1.0820 10.1998
-1.8741 1.0820 10.1998
0.0000 -2.1641 10.1998
Ce Cd P
2 1 1
Cartesian
0.0000 0.0000 3.3866
0.0000 0.0000 27.2130
0.0000 0.0000 0.0000
0.0000 0.0000 15.2998
```

Computed properties:
- calculated density (Mg/m³) = 5.7
- E_form (eV per atom) = -0.4354
- distance to the lowest polymorph of the same formula (meV per atom) = 258

***

Record 3
A plane-wave DFT calculation with PBE was carried out for a relaxed KPu2PbBr8 crystal.

The structure in POSCAR format:
```
KPu2PbBr8
1.0
6.9601 0.0000 0.0000
0.0000 9.0585 0.0000
-0.1529 0.0000 7.2985
K Pu Pb Br
1 2 1 8
Cartesian
0.0000 0.0000 0.0000
3.4036 2.2690 3.6492
3.4036 6.7895 3.6492
0.0000 4.5292 0.0000
1.7609 2.3965 1.2341
1.7609 6.6620 1.2341
1.7477 4.5292 4.7420
1.8000 0.0000 4.6359
5.0072 0.0000 2.6625
5.0594 4.5292 2.5565
5.0463 2.3965 6.0644
5.0463 6.6620 6.0644
```

Computed properties:
- uncorrected formation energy (eV per formula unit) = -16.834
- calculated density (Mg/m³) = 5.0